Record 1
# BaTlFe2Ni, optimized geometry, DFT PBE
# **Total magnetization**: 6.13 μB/cell
# **Formation energy from the elements**: 0.98 eV per atom
data_BaTlFe2Ni
_chemical_formula_sum 'Ba1 Tl1 Fe2 Ni1'
_cell_length_a 5.076
_cell_length_b 5.076
_cell_length_c 5.025
_cell_angle_alpha 90.00
_cell_angle_beta 90.00
_cell_angle_gamma 90.00
_space_group_name_H-M_alt 'P 4/m m m'
_space_group_IT_number 123
_space_group_name_Hall '-P 4 2'
loop_
_atom_site_label
_atom_site_type_symbol
_atom_site_fract_x
_atom_site_fract_y
_atom_site_fract_z
Ba1 Ba 0.000 0.000 0.000
Tl1 Tl 0.500 0.500 0.500
Fe1 Fe 0.000 0.500 0.500
Ni1 Ni 0.500 0.500 0.000

Record 2
# BaBe2Ga2O6, optimized geometry, DFT PBE
# **Total magnetization**: 0.00 μB/cell
# **ΔE_f (raw)**: -2295 meV/atom
data_BaBe2Ga2O6
_chemical_formula_sum 'Ba1 Be2 Ga2 O6'
_cell_length_a 5.206
_cell_length_b 5.278
_cell_length_c 6.809
_cell_angle_alpha 85.09
_cell_angle_beta 73.00
_cell_angle_gamma 61.98
_space_group_name_H-M_alt 'P -1'
_space_group_IT_number 2
_space_group_name_Hall '-P 1'
loop_
_atom_site_label
_atom_site_type_symbol
_atom_site_fract_x
_atom_site_fract_y
_atom_site_fract_z
Ba1 Ba 0.000 0.000 0.000
Be1 Be 0.245 0.306 0.289
Ga1 Ga 0.429 0.325 0.647
O1 O 0.025 0.439 0.761
O2 O 0.325 0.992 0.250
O3 O 0.496 0.351 0.350